Crystalline CsMg6Tl4 at its relaxed geometry. Source: Alexandria, functional GGA-PBE.

```
CsMg6Tl4
1.0
4.770 0.000 0.000
0.000 7.454 -4.303
0.000 0.000 8.607
Cs Mg Tl
1 6 4
Cartesian
0.000 0.000 0.000
0.000 3.986 -1.703
2.385 4.347 4.303
0.000 3.986 1.703
0.000 6.936 0.000
2.385 1.553 5.916
2.385 1.553 2.691
2.385 5.954 1.706
2.385 2.999 0.000
2.385 5.954 -1.706
0.000 2.485 4.303
```

Computed properties:
raw total energy = -1.85 eV/atom
space group = No. 187
density = 5949 kg/m³
DFT formation energy = -0.0381 eV per atom